Record 1
First-principles (PBE-GGA) data for a relaxed structure of DyHoTiCd, as listed in the Alexandria database.

```
DyHoTiCd
1.0
0.0000 3.6887 3.6887
3.6887 0.0000 3.6887
3.6887 3.6887 0.0000
Dy Ho Ti Cd
1 1 1 1
Direct
0.0000 0.0000 0.0000 Dy
0.5000 0.5000 0.5000 Ho
0.7500 0.7500 0.7500 Ti
0.2500 0.2500 0.2500 Cd
```

Results
E_tot ... -4.456 eV/atom
Calculated formation energy ... 0.041 eV per atom
Volume ... 25.094 A^3/atom
M_tot ... 2.50 Bohr magnetons per cell

***

Record 2
First-principles (PBE-GGA) data for a relaxed structure of SrBe2Cl, as listed in the Alexandria database.

```
SrBe2Cl
1.0
3.7679 0.0000 0.0000
0.0000 4.1983 0.0000
0.0000 0.0000 5.7668
Sr Be Cl
1 2 1
Direct
0.0000 0.0000 0.0000 Sr
0.5000 0.0000 0.6190 Be
0.5000 0.5000 0.6345 Be
0.5000 0.5000 0.2143 Cl
```

Results
E_tot ... -2.792 eV/atom
E_form (uncorrected) ... -0.046 eV per atom
Volume ... 22.806 A^3/atom
Energy above the lowest structure with this stoichiometry ... 0.46 eV per formula unit
M_tot ... 0.00 Bohr magnetons per cell

***

Record 3
First-principles (PBE-GGA) data for a relaxed structure of PbSeF2, as listed in the Alexandria database.

```
PbSeF2
1.0
1.9523 1.1272 7.7367
-1.9523 1.1272 7.7367
0.0000 -2.2543 7.7367
Pb Se F
1 1 2
Direct
0.0000 0.0000 0.0000 Pb
0.5000 0.5000 0.5000 Se
0.2881 0.2881 0.2881 F
0.7119 0.7119 0.7119 F
```

Results
E_tot ... -3.907 eV/atom
E_form (uncorrected) ... -1.173 eV per atom
Volume ... 25.537 A^3/atom
Energy above the lowest structure with this stoichiometry ... 0.00 eV per formula unit
M_tot ... 2.00 Bohr magnetons per cell

***

Record 4
First-principles (PBE-GGA) data for a relaxed structure of ZnHg2Mo, as listed in the Alexandria database.

```
ZnHg2Mo
1.0
4.9888 -1.4511 0.0000
4.9888 1.4511 0.0000
-1.2228 0.0000 5.1326
Zn Hg Mo
1 2 1
Direct
0.0000 0.0000 0.0000 Zn
0.2552 0.2552 0.7486 Hg
0.7448 0.7448 0.2514 Hg
0.5000 0.5000 0.5000 Mo
```

Results
E_tot ... -2.659 eV/atom
Calculated formation energy ... 0.518 eV per atom
Volume ... 18.577 A^3/atom
M_tot ... 0.00 Bohr magnetons per cell

***

Record 5
First-principles (PBE-GGA) data for a relaxed structure of NdThIr2, as listed in the Alexandria database.

```
NdThIr2
1.0
5.8456 0.0000 0.0000
0.0000 5.8476 0.0000
0.0000 0.0000 11.6556
Nd Th Ir
4 4 8
Direct
0.0000 0.2503 0.1268 Nd
0.0000 0.7497 0.8732 Nd
0.5000 0.2503 0.3732 Nd
0.5000 0.7497 0.6268 Nd
0.0000 0.2432 0.6269 Th
0.0000 0.7568 0.3731 Th
0.5000 0.2432 0.8731 Th
0.5000 0.7568 0.1269 Th
0.0000 0.2492 0.8699 Ir
0.0000 0.2553 0.3832 Ir
0.0000 0.7447 0.6168 Ir
0.0000 0.7508 0.1301 Ir
0.5000 0.2492 0.6301 Ir
0.5000 0.2553 0.1168 Ir
0.5000 0.7447 0.8832 Ir
0.5000 0.7508 0.3699 Ir
```

Results
E_tot ... -8.160 eV/atom
Calculated formation energy ... -0.683 eV per atom
Volume ... 24.901 A^3/atom
Energy above the lowest structure with this stoichiometry ... 0.55 eV per formula unit
M_tot ... 0.00 Bohr magnetons per cell

***

Record 6
First-principles (PBE-GGA) data for a relaxed structure of PrMg2Tl, as listed in the Alexandria database.

```
PrMg2Tl
1.0
0.0000 3.7202 3.7202
3.7202 0.0000 3.7202
3.7202 3.7202 0.0000
Pr Mg Tl
1 2 1
Direct
0.0000 0.0000 0.0000 Pr
0.2500 0.2500 0.2500 Mg
0.7500 0.7500 0.7500 Mg
0.5000 0.5000 0.5000 Tl
```

Results
E_tot ... -2.681 eV/atom
Calculated formation energy ... -0.097 eV per atom
Volume ... 25.744 A^3/atom
Energy above the lowest structure with this stoichiometry ... 0.53 eV per formula unit
M_tot ... 0.00 Bohr magnetons per cell

***

Record 7
First-principles (PBE-GGA) data for a relaxed structure of ZrNbVOs, as listed in the Alexandria database.

```
ZrNbVOs
1.0
0.0000 3.2319 3.2319
3.2319 0.0000 3.2319
3.2319 3.2319 0.0000
Zr Nb V Os
1 1 1 1
Direct
0.0000 0.0000 0.0000 Zr
0.5000 0.5000 0.5000 Nb
0.7500 0.7500 0.7500 V
0.2500 0.2500 0.2500 Os
```

Results
E_tot ... -9.938 eV/atom
Calculated formation energy ... -0.197 eV per atom
Volume ... 16.879 A^3/atom
M_tot ... 0.82 Bohr magnetons per cell

***

Record 8
First-principles (PBE-GGA) data for a relaxed structure of Cu3AuI9, as listed in the Alexandria database.

```
Cu3AuI9
1.0
6.6491 -6.6630 0.0000
6.6491 6.6630 0.0000
0.0000 0.0000 12.2662
Cu Au I
6 2 18
Direct
0.1863 0.1878 0.6905 Cu
0.1878 0.1863 0.3095 Cu
0.2398 0.7602 0.7500 Cu
0.7602 0.2398 0.2500 Cu
0.8122 0.8137 0.8095 Cu
0.8137 0.8122 0.1905 Cu
0.2961 0.7039 0.2500 Au
0.7039 0.2961 0.7500 Au
0.0071 0.2793 0.1638 I
0.0120 0.6911 0.3015 I
0.1127 0.1127 0.5000 I
0.2793 0.0071 0.8362 I
0.2929 0.6868 0.9413 I
0.3089 0.9880 0.1985 I
0.3132 0.7071 0.5587 I
0.3295 0.4100 0.2406 I
0.4100 0.3295 0.7594 I
0.5900 0.6705 0.2594 I
0.6705 0.5900 0.7406 I
0.6868 0.2929 0.0587 I
0.6911 0.0120 0.6985 I
0.7071 0.3132 0.4413 I
0.7207 0.9929 0.3362 I
0.8873 0.8873 0.0000 I
0.9880 0.3089 0.8015 I
0.9929 0.7207 0.6638 I
```

Results
E_tot ... -2.270 eV/atom
E_form (uncorrected) ... 0.000 eV per atom
Volume ... 41.802 A^3/atom
M_tot ... 0.00 Bohr magnetons per cell

***

Record 9
First-principles (PBE-GGA) data for a relaxed structure of RbTm6Se8, as listed in the Alexandria database.

```
RbTm6Se8
1.0
10.8477 0.0000 0.0000
-5.4239 9.3944 0.0000
0.0000 0.0000 4.1245
Rb Tm Se
1 6 8
Direct
0.0000 0.0000 0.0000 Rb
0.1384 0.4830 0.2500 Tm
0.3446 0.8616 0.2500 Tm
0.4830 0.3446 0.7500 Tm
0.5170 0.6554 0.2500 Tm
0.6554 0.1384 0.7500 Tm
0.8616 0.5170 0.7500 Tm
0.0439 0.6876 0.2499 Se
0.3124 0.3563 0.2499 Se
0.3333 0.6667 0.7503 Se
0.3563 0.0439 0.7501 Se
0.6437 0.9561 0.2499 Se
0.6667 0.3333 0.2497 Se
0.6876 0.6437 0.7501 Se
0.9561 0.3124 0.7501 Se
```

Results
E_tot ... -5.422 eV/atom
E_form (uncorrected) ... -1.711 eV per atom
Volume ... 28.021 A^3/atom
M_tot ... 0.01 Bohr magnetons per cell

***

Record 10
First-principles (PBE-GGA) data for a relaxed structure of MgTiRe3, as listed in the Alexandria database.

```
MgTiRe3
1.0
4.4683 0.0000 0.0000
0.0000 4.4683 0.0000
0.0000 0.0000 4.4683
Mg Ti Re
1 1 3
Direct
0.0000 0.0000 0.0000 Mg
0.5000 0.5000 0.5000 Ti
0.0000 0.0000 0.5000 Re
0.0000 0.5000 0.0000 Re
0.5000 0.0000 0.0000 Re
```

Results
E_tot ... -7.228 eV/atom
Calculated formation energy ... 2.139 eV per atom
Volume ... 17.842 A^3/atom
Energy above the lowest structure with this stoichiometry ... 2.36 eV per formula unit
M_tot ... 0.00 Bohr magnetons per cell

***

Record 11
First-principles (PBE-GGA) data for a relaxed structure of La6NdHoTh2, as listed in the Alexandria database.

```
La6NdHoTh2
1.0
4.9839 -7.7753 0.0000
4.9839 7.7753 0.0000
-0.0722 0.0000 9.0932
La Nd Ho Th
12 2 2 4
Direct
0.0315 0.4659 0.6846 La
0.0758 0.7811 0.9089 La
0.2189 0.9242 0.5911 La
0.2830 0.5691 0.0904 La
0.4309 0.7170 0.4096 La
0.4659 0.0315 0.1846 La
0.5341 0.9685 0.8154 La
0.5691 0.2830 0.5904 La
0.7170 0.4309 0.9096 La
0.7811 0.0758 0.4089 La
0.9242 0.2189 0.0911 La
0.9685 0.5341 0.3154 La
0.0625 0.9375 0.2500 Nd
0.9375 0.0625 0.7500 Nd
0.4368 0.5632 0.7500 Ho
0.5632 0.4368 0.2500 Ho
0.2026 0.3019 0.4349 Th
0.3019 0.2026 0.9349 Th
0.6981 0.7974 0.0651 Th
0.7974 0.6981 0.5651 Th
```

Results
E_tot ... -5.218 eV/atom
Calculated formation energy ... 0.157 eV per atom
Volume ... 35.238 A^3/atom
M_tot ... 0.00 Bohr magnetons per cell

***

Record 12
First-principles (PBE-GGA) data for a relaxed structure of Sb2TeAuC, as listed in the Alexandria database.

```
Sb2TeAuC
1.0
5.4017 0.0000 0.0000
0.0000 5.4017 0.0000
0.0000 0.0000 5.4653
Sb Te Au C
2 1 1 1
Direct
0.0000 0.5000 0.0000 Sb
0.5000 0.0000 0.0000 Sb
0.0000 0.0000 0.5000 Te
0.0000 0.0000 0.0000 Au
0.5000 0.5000 0.5000 C
```

Results
E_tot ... -2.883 eV/atom
E_form (uncorrected) ... 1.895 eV per atom
Volume ... 31.893 A^3/atom
Energy above the lowest structure with this stoichiometry ... 4.78 eV per formula unit
M_tot ... 1.29 Bohr magnetons per cell